Entry from Alexandria: a relaxed structure of FeMoO4 (GGA+U).

Calculated values
Magnetic moment (μB/cell): 8.0
DFT total energy (eV per atom): -6.9933
Crystal system: tetragonal
Energy relative to the lowest polymorph listed for this composition (meV/atom): 17

Cell lengths 5.880, 5.880, 9.131 Å; angles 90.00, 90.00, 90.00 degrees
Space group I-4 (No. 82)
Unique sites:
Fe 0.000 0.000 0.000 [2 per cell]
Mo 0.000 0.500 0.250 [2 per cell]
O 0.055 0.257 0.137 [8 per cell]